Material: La2MoPbO8
Method: DFT, PBE+U
State: optimized geometry

a = 5.0806 Å, b = 5.1031 Å, c = 7.1241 Å
α = 88.85°, β = 88.87°, γ = 93.16°
Last column: nearest neighbours and their distance in Å.
Fractional positions:
O 0.7938 0.1447 0.2100  1 Mo 1.99
La 0.4554 0.4580 0.7599  6 O 2.32-2.47
O 0.2745 0.2700 0.0353  1 Mo 1.93
O 0.7255 0.7300 0.9647  1 Mo 1.93
O 0.7082 0.7098 0.5250  1 Pb 2.04
Mo 0.0000 0.0000 0.0000  6 O 1.93-1.99
Pb 0.0000 0.0000 0.5000  2 O 2.04
O 0.2062 0.8553 0.7900  1 Mo 1.99
O 0.1433 0.7907 0.2083  1 Mo 1.98
O 0.2918 0.2902 0.4750  1 Pb 2.04
La 0.5446 0.5420 0.2401  6 O 2.32-2.47
O 0.8567 0.2093 0.7917  1 Mo 1.98

SG: P-1 (2)
Total moment, μB per atom: 0.000

=====

Material: LaPmMo2O8
Method: DFT, PBE+U
State: optimized geometry

a = 5.4027 Å, b = 5.4027 Å, c = 6.9135 Å
α = 113.00°, β = 113.00°, γ = 90.00°
Last column: nearest neighbours and their distance in Å.
Fractional positions:
Mo 0.2500 0.7500 0.5000  4 O 1.82
O 0.7654 0.8485 0.1774  1 Mo 1.98
O 0.0030 0.4331 0.3282  1 Mo 1.82
O 0.3252 0.8951 0.3282  1 Mo 1.82
O 0.5669 0.6748 0.6718  1 Mo 1.82
O 0.4120 0.3289 0.1774  1 Mo 1.98
O 0.6711 0.2346 0.8226  1 Mo 1.98
Pm 0.0000 0.0000 0.0000  8 O 2.40-2.54
Mo 0.5000 0.5000 0.0000  4 O 1.98
O 0.1049 0.9970 0.6718  1 Mo 1.82
La 0.7500 0.2500 0.5000  8 O 2.46-2.54
O 0.1515 0.5880 0.8226  1 Mo 1.98

SG: I-4 (82)
Total moment, μB per atom: 0.167

=====

Material: LaPr2MoO8
Method: DFT, PBE+U
State: optimized geometry

a = 5.2315 Å, b = 5.2367 Å, c = 7.1861 Å
α = 89.99°, β = 90.00°, γ = 90.58°
Last column: nearest neighbours and their distance in Å.
Fractional positions:
La 0.0000 0.0000 0.5000  6 O 2.28-2.53
Mo 0.0000 0.0000 0.0000  6 O 1.95-1.96
O 0.1776 0.8215 0.2005  1 Mo 1.96
O 0.3096 0.3090 0.5001  1 La 2.28, 2 Pr 2.32
O 0.1777 0.8216 0.7995  1 Mo 1.96
O 0.2654 0.2641 0.0000  1 Mo 1.95
Pr 0.5000 0.5000 0.7566  6 O 2.32-2.46
O 0.8224 0.1785 0.7995  1 Mo 1.96
O 0.7346 0.7359 0.0000  1 Mo 1.95
Pr 0.5000 0.5000 0.2434  6 O 2.32-2.46
O 0.6904 0.6910 0.4999  1 La 2.28, 2 Pr 2.32
O 0.8223 0.1784 0.2005  1 Mo 1.96

SG: P2/m (10)
Total moment, μB per atom: 0.077

=====

Material: RbLaMo2O8
Method: DFT, PBE+U
State: optimized geometry

a = 6.4925 Å, b = 6.4925 Å, c = 9.8042 Å
α = 90.00°, β = 90.00°, γ = 90.00°
Last column: nearest neighbours and their distance in Å.
Fractional positions:
Mo 0.0000 0.5000 0.2500  4 O 1.80
O 0.6100 0.1937 0.6407  1 Mo 1.80
O 0.8900 0.6937 0.1407  1 Mo 1.80
O 0.6937 0.8900 0.8593  1 Mo 1.80
O 0.8063 0.3900 0.3593  1 Mo 1.80
O 0.6937 0.1100 0.1407  1 Mo 1.80
O 0.1937 0.6100 0.3593  1 Mo 1.80
Mo 0.5000 0.0000 0.7500  4 O 1.80
O 0.3900 0.8063 0.6407  1 Mo 1.80
O 0.1937 0.3900 0.6407  1 Mo 1.80
O 0.3900 0.1937 0.3593  1 Mo 1.80
Rb 0.0000 0.0000 0.5000  8 O 3.15
O 0.1100 0.3063 0.1407  1 Mo 1.80
O 0.8900 0.3063 0.8593  1 Mo 1.80
O 0.8063 0.6100 0.6407  1 Mo 1.80
Mo 0.5000 0.0000 0.2500  4 O 1.80
O 0.6100 0.8063 0.3593  1 Mo 1.80
O 0.3063 0.1100 0.8593  1 Mo 1.80
Rb 0.5000 0.5000 0.0000  8 O 3.15
Mo 0.0000 0.5000 0.7500  4 O 1.80
La 0.5000 0.5000 0.5000  8 O 2.52
La 0.0000 0.0000 0.0000  8 O 2.52
O 0.3063 0.8900 0.1407  1 Mo 1.80
O 0.1100 0.6937 0.8593  1 Mo 1.80

SG: P4/nnc (126)
Total moment, μB per atom: 0.000

=====

no.,density (g/cm³),uncorrected energy (eV for the cell shown)
1,6.4,-85.85
2,6.0,-92.77
3,5.4,-91.98
4,4.4,-171.86